<1>
This record from Alexandria via LeMat-Bulk describes crystalline CsSe3Cl at its relaxed geometry. The functional is PBE-GGA.

```
CsSe3Cl
1.0
-1.672 -4.981 -0.882
4.797 -1.856 1.387
-1.604 -0.359 5.067
Cl Se Cs
1 3 1
direct
0.000 0.000 0.000
0.000 0.000 0.500
0.500 0.000 0.000
0.000 0.500 0.000
0.500 0.500 0.500
```

Output
- SG = Pm-3m, No. 221
- mass density (g/cm3) = 4.5



<2>
This record from Alexandria via LeMat-Bulk describes crystalline CsSe3Cl at its relaxed geometry. The functional is PBE-GGA.

```
CsSe3Cl
1.0
6.776 0.000 0.000
0.000 6.776 0.000
0.000 0.000 6.776
Se Cl Cs
3 1 1
direct
0.500 0.000 0.000
0.000 0.000 0.500
0.000 0.500 0.000
0.500 0.500 0.500
0.000 0.000 0.000
```

Output
- SG = Pm-3m, No. 221
- mass density (g/cm3) = 2.2



Stability, highest: <1>



<1>
This record from Alexandria via LeMat-Bulk describes crystalline Cs3SeCl6 at its relaxed geometry. The functional is PBE-GGA.

```
Cs3SeCl6
1.0
9.389 -0.414 -0.424
-0.618 9.378 -0.424
-0.618 -0.632 9.367
Cs Cl Se
6 12 2
direct
0.708 0.399 0.886
0.114 0.292 0.601
0.886 0.708 0.399
0.601 0.114 0.292
0.399 0.886 0.708
0.292 0.601 0.114
0.775 0.405 0.541
0.541 0.775 0.405
0.405 0.541 0.775
0.054 0.257 0.981
0.019 0.946 0.743
0.743 0.019 0.946
0.225 0.595 0.459
0.459 0.225 0.595
0.981 0.054 0.257
0.595 0.459 0.225
0.257 0.981 0.054
0.946 0.743 0.019
0.000 0.000 0.000
0.500 0.500 0.500
```

Output
- SG = R-3, No. 148
- mass density (g/cm3) = 2.8



<2>
This record from Alexandria via LeMat-Bulk describes crystalline Cs3SeCl6 at its relaxed geometry. The functional is PBE-GGA.

```
Cs3SeCl6
1.0
7.991 0.000 0.000
0.000 7.991 0.000
3.995 3.995 6.320
Cl Cs Se
6 3 1
direct
0.259 0.259 0.482
0.741 0.741 0.518
0.713 0.287 0.000
0.713 0.713 0.000
0.287 0.713 0.000
0.287 0.287 0.000
0.750 0.250 0.500
0.250 0.750 0.500
0.000 0.000 0.000
0.500 0.500 0.000
```

Output
- SG = I4/mmm, No. 139
- mass density (g/cm3) = 2.8



Stability, highest: <2>



<1>
This record from Alexandria via LeMat-Bulk describes crystalline Cs2SeCl4 at its relaxed geometry. The functional is PBE-GGA.

```
Cs2SeCl4
1.0
5.599 0.000 0.000
0.000 5.599 0.000
2.799 2.799 8.193
Cs Cl Se
2 4 1
direct
0.367 0.367 0.265
0.633 0.633 0.735
0.849 0.849 0.301
0.500 0.000 0.000
0.000 0.500 0.000
0.151 0.151 0.699
0.000 0.000 0.000
```

Output
- SG = I4/mmm, No. 139
- mass density (g/cm3) = 3.1



<2>
This record from Alexandria via LeMat-Bulk describes crystalline Cs2SeCl4 at its relaxed geometry. The functional is PBE-GGA.

```
Cs2SeCl4
1.0
-3.422 5.520 -3.196
-5.857 -3.686 2.124
4.633 1.813 5.258
Cs Cl Se
2 4 1
direct
0.750 0.250 0.500
0.250 0.750 0.500
0.727 0.273 0.000
0.273 0.273 0.546
0.727 0.727 0.454
0.273 0.727 0.000
0.500 0.500 0.000
```

Output
- SG = I4/mmm, No. 139
- mass density (g/cm3) = 2.9



Stability, highest: <2>